YAg | GGA-PBE | relaxed

Lattice parameters (Å, degrees): 8.1316 8.1316 8.1316 90.00 90.00 90.00
Element x y z (fractional)
Y  0.0000  0.2500  0.5000
Y  0.0000  0.7500  0.5000
Y  0.2500  0.5000  0.0000
Y  0.5000  0.0000  0.2500
Y  0.5000  0.0000  0.7500
Y  0.7500  0.5000  0.0000
Ag  0.0000  0.5000  0.2500
Ag  0.0000  0.5000  0.7500
Ag  0.2500  0.0000  0.5000
Ag  0.5000  0.2500  0.0000
Ag  0.5000  0.7500  0.0000
Ag  0.7500  0.0000  0.5000

Properties
The formation energy from the elements comes out at 0.639 eV/atom. The space group is Pm-3n (223). Its total magnetization is 0.00 μB/cell.